LaNdAg2Bi2Sb2 | PBE-GGA | optimized geometry

Calculated values
**Calculated total energy**: -4.622 eV/atom

Cell lengths 4.519, 4.519, 10.679 Å; angles 90.00, 90.00, 90.00 degrees
Space group P4mm (No. 99)
Asymmetric unit:
La1 0.000 0.000 0.000 (multiplicity 1)
Nd1 0.500 0.500 0.498 (multiplicity 1)
Ag1 0.000 0.500 0.747 (multiplicity 2)
Bi1 0.000 0.500 0.252 (multiplicity 2)
Sb1 0.000 0.000 0.574 (multiplicity 1)
Sb2 0.500 0.500 0.920 (multiplicity 1)